VASP calculation (PBE) on a relaxed PrPaW crystal.

Cell: 3.2222 3.2222 14.9483 Å, 96.19 96.19 90.00°
Positions (direct):
W1 0.2748 0.2748 0.5497
Pa1 0.1553 0.1553 0.3106
Pr1 0.4432 0.4432 0.8864
Pa2 0.8447 0.8447 0.6894
Pr2 0.5568 0.5568 0.1136
W2 0.7252 0.7252 0.4503

Summary:
The value obtained for the density of states at the Fermi level is 6.38 states/eV/f.u. As for the energy relative to the elements: 313 meV per atom.